Run i
Computed, not measured: PaBeH4 after structural relaxation at the PBE-GGA level of DFT.

abc: 3.9927 4.2289 5.7334
angles: 90.00 95.96 90.00
Last column: nearest neighbours and their distance in Å.
Fractional positions:
1 Pa 0.2504 0.2500 0.2311  11 H 2.19-2.41
2 Pa 0.7496 0.7500 0.7689  11 H 2.19-2.41
3 Be 0.2141 0.2500 0.7186  3 H 1.49-1.50
4 Be 0.7859 0.7500 0.2814  3 H 1.49-1.50
5 H 0.0000 0.0000 0.5000  2 Be 1.79
6 H 0.0000 0.5000 0.5000  2 Be 1.79
7 H 0.2645 0.5183 0.8886  1 Be 1.50
8 H 0.2645 0.9817 0.8886  1 Be 1.50
9 H 0.4599 0.7500 0.3855  1 Be 1.49
10 H 0.5401 0.2500 0.6145  1 Be 1.49
11 H 0.7355 0.0183 0.1114  1 Be 1.50
12 H 0.7355 0.4817 0.1114  1 Be 1.50


Run ii
Computed, not measured: PaBeH4 after structural relaxation at the PBE-GGA level of DFT.

abc: 4.2364 4.2364 6.6515
angles: 107.21 107.21 58.19
Last column: nearest neighbours and their distance in Å.
Fractional positions:
1 Pa 0.2356 0.7644 0.7500  12 H 2.24-2.46
2 Pa 0.7644 0.2356 0.2500  12 H 2.24-2.46
3 Be 0.0000 0.5000 0.0000  4 H 1.51-1.52
4 Be 0.5000 0.0000 0.5000  4 H 1.51-1.52
5 H 0.1544 0.2552 0.6054  1 Be 1.51
6 H 0.2491 0.6844 0.0860  1 Be 1.52
7 H 0.2552 0.1544 0.1054  1 Be 1.51
8 H 0.3156 0.7509 0.4140  1 Be 1.52
9 H 0.6844 0.2491 0.5860  1 Be 1.52
10 H 0.7448 0.8456 0.8946  1 Be 1.51
11 H 0.7509 0.3156 0.9140  1 Be 1.52
12 H 0.8456 0.7448 0.3946  1 Be 1.51


Stability ranking, top and bottom: run i is the most stable and run ii is the least stable.


Run i
Computed, not measured: Be2HPb after structural relaxation at the PBE-GGA level of DFT.

abc: 4.2262 4.2262 4.2262
angles: 60.00 60.00 60.00
Last column: nearest neighbours and their distance in Å.
Fractional positions:
1 Be 0.2500 0.2500 0.2500  4 H 2.59, 4 Pb 2.59
2 Be 0.7500 0.7500 0.7500  4 H 2.59, 4 Pb 2.59
3 H 0.0000 0.0000 0.0000  8 Be 2.59
4 Pb 0.5000 0.5000 0.5000  8 Be 2.59


Run ii
Computed, not measured: Be2HPb after structural relaxation at the PBE-GGA level of DFT.

abc: 6.1508 6.1508 6.1508
angles: 138.40 138.40 60.29
Last column: nearest neighbours and their distance in Å.
Fractional positions:
1 Be 0.0000 0.0000 0.0000  2 H 1.72
2 Be 0.0000 0.0000 0.5000  2 H 1.72
3 Be 0.0000 0.5000 0.0000  2 H 1.72
4 Be 0.5000 0.0000 0.5000  2 H 1.72
5 H 0.1250 0.8750 0.2500  4 Be 1.72
6 H 0.8750 0.1250 0.7500  4 Be 1.72
7 Pb 0.3750 0.6250 0.7500  8 Be 2.78, 4 H 3.09
8 Pb 0.6250 0.3750 0.2500  8 Be 2.78, 4 H 3.09


Stability ranking, top and bottom: run ii is the most stable and run i is the least stable.


Run i
Computed, not measured: BeH3Pb after structural relaxation at the PBE-GGA level of DFT.

abc: 4.1737 4.1737 4.1737
angles: 90.00 90.00 90.00
Last column: nearest neighbours and their distance in Å.
Fractional positions:
1 Be 0.0000 0.0000 0.0000  12 H 2.95
2 H 0.0000 0.5000 0.5000  2 Pb 2.09
3 H 0.5000 0.0000 0.5000  2 Pb 2.09
4 H 0.5000 0.5000 0.0000  2 Pb 2.09
5 Pb 0.5000 0.5000 0.5000  6 H 2.09


Run ii
Computed, not measured: BeH3Pb after structural relaxation at the PBE-GGA level of DFT.

abc: 3.6676 3.6676 3.6676
angles: 90.00 90.00 90.00
Last column: nearest neighbours and their distance in Å.
Fractional positions:
1 Be 0.0000 0.0000 0.0000  6 H 1.83
2 H 0.0000 0.0000 0.5000  2 Be 1.83
3 H 0.0000 0.5000 0.0000  2 Be 1.83
4 H 0.5000 0.0000 0.0000  2 Be 1.83
5 Pb 0.5000 0.5000 0.5000  12 H 2.59


Stability ranking, top and bottom: run ii is the most stable and run i is the least stable.